An optimized crystal structure of Ca2TcAu, computed with GGA-PBE.

Cell and atoms, written as extended XYZ:
```
4
Lattice="3.4510 -4.0517 0.0000 3.4510 4.0517 0.0000 0.0000 0.0000 3.1652" Properties=species:S:1:pos:R:3 pbc="T T T"
Ca 1.7255 2.0258 0.0000
Ca 1.7255 -2.0258 0.0000
Tc 0.0000 0.0000 1.5826
Au 3.4510 0.0000 1.5826
```

energy relative to the lowest polymorph listed for this composition: 1.58 kcal/mol of atoms
spin magnetization: 0.00 μB per cell
DOS at the Fermi energy: 0.967 states/eV per atom
energy of formation: 0.6 eV per formula unit



An optimized crystal structure of Ca2TcAu, computed with GGA-PBE.

Cell and atoms, written as extended XYZ:
```
4
Lattice="4.6824 0.0000 0.0000 0.0000 1.8878 5.6187 0.0000 -1.8878 5.6187" Properties=species:S:1:pos:R:3 pbc="T T T"
Ca 0.0000 0.0000 0.0000
Ca 2.3412 0.0000 3.3989
Tc 2.3412 0.0000 6.6005
Au 0.0000 0.0000 8.0310
```

energy relative to the lowest polymorph listed for this composition: 0.61 kcal/mol of atoms
spin magnetization: 2.16 μB per cell
DOS at the Fermi energy: 0.728 states/eV per atom
energy of formation: 0.5 eV per formula unit



An optimized crystal structure of CaTcAu4, computed with GGA-PBE.

Cell and atoms, written as extended XYZ:
```
6
Lattice="0.0000 3.9255 3.9255 3.9255 0.0000 3.9255 3.9255 3.9255 0.0000" Properties=species:S:1:pos:R:3 pbc="T T T"
Ca 0.0000 0.0000 0.0000
Tc 5.8882 5.8882 5.8882
Au 2.9456 2.9456 2.9456
Au 4.9053 4.9053 2.9456
Au 4.9053 2.9456 4.9053
Au 2.9456 4.9053 4.9053
```

spin magnetization: 3.31 μB per cell
DOS at the Fermi energy: 0.553 states/eV per atom
energy of formation: 0.5 eV per formula unit



An optimized crystal structure of Ca2TcAu, computed with GGA-PBE.

Cell and atoms, written as extended XYZ:
```
4
Lattice="3.4276 0.0000 0.0000 0.0000 3.4276 0.0000 0.0000 0.0000 7.7984" Properties=species:S:1:pos:R:3 pbc="T T T"
Ca 0.0000 0.0000 1.9114
Ca 0.0000 0.0000 5.8870
Tc 1.7138 1.7138 0.0000
Au 1.7138 1.7138 3.8992
```

energy relative to the lowest polymorph listed for this composition: 0.00 kcal/mol of atoms
spin magnetization: 1.86 μB per cell
DOS at the Fermi energy: 0.592 states/eV per atom
energy of formation: 0.3 eV per formula unit



An optimized crystal structure of CaTc2Au, computed with GGA-PBE.

Cell and atoms, written as extended XYZ:
```
4
Lattice="1.4450 0.8343 9.7889 -1.4450 0.8343 9.7889 0.0000 -1.6685 9.7889" Properties=species:S:1:pos:R:3 pbc="T T T"
Ca 0.0000 0.0000 0.0000
Tc 0.0000 0.0000 7.2024
Tc 0.0000 0.0000 22.1642
Au 0.0000 0.0000 14.6833
```

energy relative to the lowest polymorph listed for this composition: 15.92 kcal/mol of atoms
spin magnetization: 0.00 μB per cell
DOS at the Fermi energy: 1.651 states/eV per atom
energy of formation: 3.0 eV per formula unit



An optimized crystal structure of CaTc2Au, computed with GGA-PBE.

Cell and atoms, written as extended XYZ:
```
4
Lattice="0.0000 3.2774 3.2774 3.2774 0.0000 3.2774 3.2774 3.2774 0.0000" Properties=species:S:1:pos:R:3 pbc="T T T"
Ca 0.0000 0.0000 0.0000
Tc 3.2774 3.2774 3.2774
Tc 4.9161 4.9161 4.9161
Au 1.6387 1.6387 1.6387
```

energy relative to the lowest polymorph listed for this composition: 7.68 kcal/mol of atoms
spin magnetization: 0.00 μB per cell
DOS at the Fermi energy: 1.245 states/eV per atom
energy of formation: 1.6 eV per formula unit



Which formula does entry 5 have? CaTc2Au